No. 1
Here is an optimized crystal structure of NaTl2FeBr6 from the Alexandria database. Energies are from PBE.

Results
DFT total energy (eV/f.u.): -31.80
Total moment (μB per formula unit): 0.967

```
data_NaTl2FeBr6
_chemical_formula_sum 'Na2 Tl4 Fe2 Br12'
_symmetry_space_group_name_H-M 'P 1'
_symmetry_Int_Tables_number 1
_cell_length_a 7.3933
_cell_length_b 7.6480
_cell_length_c 10.6401
_cell_angle_alpha 90.00
_cell_angle_beta 89.71
_cell_angle_gamma 90.00
loop_
_symmetry_equiv_pos_as_xyz
'x,y,z'
loop_
_atom_site_label
_atom_site_type_symbol
_atom_site_fract_x
_atom_site_fract_y
_atom_site_fract_z
Tl1 Tl 0.0192 0.9313 0.2463
Br1 Br 0.8241 0.7690 0.9645
Br2 Br 0.9243 0.5067 0.2250
Tl2 Tl 0.5192 0.5687 0.7463
Na1 Na 0.0000 0.5000 0.5000
Br3 Br 0.2272 0.1765 0.4630
Br4 Br 0.5757 0.0067 0.2750
Br5 Br 0.7728 0.8235 0.5370
Na2 Na 0.5000 0.0000 0.0000
Br6 Br 0.4243 0.9933 0.7250
Br7 Br 0.3241 0.7310 0.4645
Br8 Br 0.6759 0.2690 0.5355
Tl3 Tl 0.9808 0.0687 0.7537
Fe1 Fe 0.5000 0.0000 0.5000
Br9 Br 0.1759 0.2310 0.0355
Br10 Br 0.0757 0.4933 0.7750
Br11 Br 0.2728 0.6765 0.0370
Fe2 Fe 0.0000 0.5000 0.0000
Br12 Br 0.7272 0.3235 0.9630
Tl4 Tl 0.4808 0.4313 0.2537
```



No. 2
Here is an optimized crystal structure of Zn12In17 from the Alexandria database. Energies are from PBE.

Results
Energy of formation from the pure elements (kcal/mol of atoms): 1.70
DFT total energy (eV/f.u.): -59.70
Total moment (μB per formula unit): 0.000

```
data_Zn12In17
_chemical_formula_sum 'Zn12 In17'
_symmetry_space_group_name_H-M 'P 1'
_symmetry_Int_Tables_number 1
_cell_length_a 9.4335
_cell_length_b 9.4335
_cell_length_c 9.4335
_cell_angle_alpha 109.47
_cell_angle_beta 109.47
_cell_angle_gamma 109.47
loop_
_symmetry_equiv_pos_as_xyz
'x,y,z'
loop_
_atom_site_label
_atom_site_type_symbol
_atom_site_fract_x
_atom_site_fract_y
_atom_site_fract_z
In1 In 0.0000 0.0000 0.3385
In2 In 0.6003 0.3125 0.0000
Zn1 Zn 0.8195 0.1809 0.1809
Zn2 Zn 0.3614 0.1805 0.3614
In3 In 0.6875 0.6875 0.2877
Zn3 Zn 0.8191 0.0000 0.6386
Zn4 Zn 0.6386 0.0000 0.8191
In4 In 0.0000 0.6003 0.3125
In5 In 0.0000 0.0000 0.0000
In6 In 0.7123 0.3997 0.3997
Zn5 Zn 0.3614 0.3614 0.1805
Zn6 Zn 0.1809 0.1809 0.8195
In7 In 0.3997 0.7123 0.3997
Zn7 Zn 0.0000 0.6386 0.8191
In8 In 0.6003 0.0000 0.3125
Zn8 Zn 0.8191 0.6386 0.0000
In9 In 0.3125 0.6003 0.0000
In10 In 0.6875 0.2877 0.6875
In11 In 0.6615 0.6615 0.6615
In12 In 0.3997 0.3997 0.7123
Zn9 Zn 0.0000 0.8191 0.6386
In13 In 0.3125 0.0000 0.6003
In14 In 0.0000 0.3385 0.0000
Zn10 Zn 0.1809 0.8195 0.1809
Zn11 Zn 0.1805 0.3614 0.3614
In15 In 0.0000 0.3125 0.6003
Zn12 Zn 0.6386 0.8191 0.0000
In16 In 0.3385 0.0000 0.0000
In17 In 0.2877 0.6875 0.6875
```



No. 3
Here is an optimized crystal structure of Mn2P from the Alexandria database. Energies are from PBE.

Results
Energy of formation from the pure elements (kcal/mol of atoms): 0.76
DFT total energy (eV/f.u.): -23.65
Total moment (μB per formula unit): 2.166

```
data_Mn2P
_chemical_formula_sum 'Mn4 P2'
_symmetry_space_group_name_H-M 'P 1'
_symmetry_Int_Tables_number 1
_cell_length_a 9.5884
_cell_length_b 9.5884
_cell_length_c 9.5884
_cell_angle_alpha 163.62
_cell_angle_beta 163.62
_cell_angle_gamma 23.24
loop_
_symmetry_equiv_pos_as_xyz
'x,y,z'
loop_
_atom_site_label
_atom_site_type_symbol
_atom_site_fract_x
_atom_site_fract_y
_atom_site_fract_z
Mn1 Mn 0.4296 0.4296 0.0000
Mn2 Mn 0.5704 0.5704 0.0000
P1 P 0.0000 0.0000 0.0000
P2 P 0.7500 0.2500 0.5000
Mn3 Mn 0.1796 0.6796 0.5000
Mn4 Mn 0.3204 0.8204 0.5000
```



No. 4
Here is an optimized crystal structure of CaTbTlCl6 from the Alexandria database. Energies are from PBE.

Results
DFT total energy (eV/f.u.): -38.72
Total moment (μB per formula unit): 0.000

```
data_CaTbTlCl6
_chemical_formula_sum 'Ca2 Tb2 Tl2 Cl12'
_symmetry_space_group_name_H-M 'P 1'
_symmetry_Int_Tables_number 1
_cell_length_a 7.1372
_cell_length_b 7.1372
_cell_length_c 13.8040
_cell_angle_alpha 90.00
_cell_angle_beta 90.00
_cell_angle_gamma 120.00
loop_
_symmetry_equiv_pos_as_xyz
'x,y,z'
loop_
_atom_site_label
_atom_site_type_symbol
_atom_site_fract_x
_atom_site_fract_y
_atom_site_fract_z
Tb1 Tb 0.6667 0.3333 0.2500
Cl1 Cl 0.6320 0.0092 0.3598
Cl2 Cl 0.3680 0.9908 0.6402
Tl1 Tl 0.0000 0.0000 0.5000
Tb2 Tb 0.3333 0.6667 0.7500
Cl3 Cl 0.9908 0.3680 0.1402
Cl4 Cl 0.3772 0.3680 0.3598
Cl5 Cl 0.9908 0.6228 0.3598
Cl6 Cl 0.3772 0.0092 0.1402
Cl7 Cl 0.0092 0.3772 0.6402
Cl8 Cl 0.0092 0.6320 0.8598
Cl9 Cl 0.6228 0.6320 0.6402
Cl10 Cl 0.3680 0.3772 0.8598
Cl11 Cl 0.6320 0.6228 0.1402
Tl2 Tl 0.0000 0.0000 0.0000
Ca1 Ca 0.6667 0.3333 0.7500
Ca2 Ca 0.3333 0.6667 0.2500
Cl12 Cl 0.6228 0.9908 0.8598
```



No. 5
Here is an optimized crystal structure of Mg3AsN from the Alexandria database. Energies are from PBE.

Results
DFT total energy (eV/f.u.): -19.54
Total moment (μB per formula unit): 0.000

```
data_Mg3AsN
_chemical_formula_sum 'Mg6 As2 N2'
_symmetry_space_group_name_H-M 'P 1'
_symmetry_Int_Tables_number 1
_cell_length_a 17.6542
_cell_length_b 7.4748
_cell_length_c 7.4748
_cell_angle_alpha 152.40
_cell_angle_beta 152.31
_cell_angle_gamma 27.69
loop_
_symmetry_equiv_pos_as_xyz
'x,y,z'
loop_
_atom_site_label
_atom_site_type_symbol
_atom_site_fract_x
_atom_site_fract_y
_atom_site_fract_z
As1 As 0.8641 0.0184 0.9816
Mg1 Mg 0.7774 0.2871 0.7129
N1 N 0.3595 0.9834 0.0166
Mg2 Mg 0.2226 0.7129 0.2871
Mg3 Mg 0.1001 0.2053 0.7947
Mg4 Mg 0.5489 0.2670 0.7330
Mg5 Mg 0.8999 0.7947 0.2053
As2 As 0.1359 0.9816 0.0184
N2 N 0.6405 0.0166 0.9834
Mg6 Mg 0.4511 0.7330 0.2670
```



No. 6
Here is an optimized crystal structure of TmGa6Pd3 from the Alexandria database. Energies are from PBE.

Results
Energy of formation from the pure elements (kcal/mol of atoms): -11.91
DFT total energy (eV/f.u.): -43.38
Total moment (μB per formula unit): 0.000

```
data_TmGa6Pd3
_chemical_formula_sum 'Tm2 Ga12 Pd6'
_symmetry_space_group_name_H-M 'P 1'
_symmetry_Int_Tables_number 1
_cell_length_a 6.8481
_cell_length_b 6.9279
_cell_length_c 7.8432
_cell_angle_alpha 111.24
_cell_angle_beta 90.00
_cell_angle_gamma 90.00
loop_
_symmetry_equiv_pos_as_xyz
'x,y,z'
loop_
_atom_site_label
_atom_site_type_symbol
_atom_site_fract_x
_atom_site_fract_y
_atom_site_fract_z
Ga1 Ga 0.0411 0.5277 0.6713
Ga2 Ga 0.8147 0.2051 0.7330
Pd1 Pd 0.6752 0.2978 0.1037
Ga3 Ga 0.9589 0.4723 0.3287
Tm1 Tm 0.5000 0.5000 0.5000
Pd2 Pd 0.5000 0.0000 0.5000
Ga4 Ga 0.1909 0.8890 0.6310
Pd3 Pd 0.1752 0.2023 0.3963
Ga5 Ga 0.1853 0.7949 0.2670
Ga6 Ga 0.6853 0.7051 0.2330
Pd4 Pd 0.0000 0.5000 0.0000
Ga7 Ga 0.3091 0.3890 0.1310
Ga8 Ga 0.6909 0.6110 0.8690
Pd5 Pd 0.3248 0.7022 0.8963
Ga9 Ga 0.5411 0.9723 0.8287
Ga10 Ga 0.4589 0.0277 0.1713
Ga11 Ga 0.8091 0.1110 0.3690
Ga12 Ga 0.3147 0.2949 0.7670
Pd6 Pd 0.8248 0.7978 0.6037
Tm2 Tm 0.0000 0.0000 0.0000
```



No. 7
Here is an optimized crystal structure of Er2MnGa5Ru2 from the Alexandria database. Energies are from PBE.

Results
Energy of formation from the pure elements (kcal/mol of atoms): -7.67
DFT total energy (eV/f.u.): -55.31
Total moment (μB per formula unit): 2.975

```
data_Er2MnGa5Ru2
_chemical_formula_sum 'Er4 Mn2 Ga10 Ru4'
_symmetry_space_group_name_H-M 'P 1'
_symmetry_Int_Tables_number 1
_cell_length_a 3.2062
_cell_length_b 10.4372
_cell_length_c 10.4372
_cell_angle_alpha 90.00
_cell_angle_beta 90.00
_cell_angle_gamma 90.00
loop_
_symmetry_equiv_pos_as_xyz
'x,y,z'
loop_
_atom_site_label
_atom_site_type_symbol
_atom_site_fract_x
_atom_site_fract_y
_atom_site_fract_z
Er1 Er 0.0000 0.3211 0.8211
Er2 Er 0.0000 0.1789 0.3211
Ru1 Ru 0.0000 0.1294 0.6294
Ga1 Ga 0.5000 0.0000 0.5000
Ga2 Ga 0.5000 0.0572 0.8100
Er3 Er 0.0000 0.8211 0.6789
Ga3 Ga 0.5000 0.5572 0.6900
Ga4 Ga 0.5000 0.3100 0.5572
Er4 Er 0.0000 0.6789 0.1789
Ru2 Ru 0.0000 0.6294 0.8706
Mn1 Mn 0.0000 0.0000 0.0000
Ru3 Ru 0.0000 0.8706 0.3706
Ga5 Ga 0.5000 0.4428 0.3100
Ga6 Ga 0.5000 0.8100 0.9428
Ga7 Ga 0.5000 0.9428 0.1900
Ga8 Ga 0.5000 0.6900 0.4428
Mn2 Mn 0.0000 0.5000 0.5000
Ru4 Ru 0.0000 0.3706 0.1294
Ga9 Ga 0.5000 0.5000 0.0000
Ga10 Ga 0.5000 0.1900 0.0572
```



No. 8
Here is an optimized crystal structure of Ce2PuPaAs4 from the Alexandria database. Energies are from PBE.

Results
Energy of formation from the pure elements (kcal/mol of atoms): -28.60
DFT total energy (eV/f.u.): -64.21
Total moment (μB per formula unit): 5.724

```
data_Ce2PuPaAs4
_chemical_formula_sum 'Ce2 Pu1 Pa1 As4'
_symmetry_space_group_name_H-M 'P 1'
_symmetry_Int_Tables_number 1
_cell_length_a 4.1647
_cell_length_b 7.2287
_cell_length_c 7.1953
_cell_angle_alpha 70.52
_cell_angle_beta 90.00
_cell_angle_gamma 90.00
loop_
_symmetry_equiv_pos_as_xyz
'x,y,z'
loop_
_atom_site_label
_atom_site_type_symbol
_atom_site_fract_x
_atom_site_fract_y
_atom_site_fract_z
Ce1 Ce 0.0000 0.0000 0.0000
As1 As 0.5000 0.2578 0.7442
Pa1 Pa 0.0000 0.5000 0.5000
Pu1 Pu 0.5000 0.5000 0.0000
As2 As 0.0000 0.2568 0.2509
Ce2 Ce 0.5000 0.0000 0.5000
As3 As 0.5000 0.7422 0.2558
As4 As 0.0000 0.7432 0.7491
```



No. 9
Here is an optimized crystal structure of LiDyAl4 from the Alexandria database. Energies are from PBE.

Results
Energy of formation from the pure elements (kcal/mol of atoms): -6.54
DFT total energy (eV/f.u.): -23.19
Total moment (μB per formula unit): 0.000

```
data_LiDyAl4
_chemical_formula_sum 'Li2 Dy2 Al8'
_symmetry_space_group_name_H-M 'P 1'
_symmetry_Int_Tables_number 1
_cell_length_a 5.5198
_cell_length_b 5.5198
_cell_length_c 8.8239
_cell_angle_alpha 90.00
_cell_angle_beta 90.00
_cell_angle_gamma 120.00
loop_
_symmetry_equiv_pos_as_xyz
'x,y,z'
loop_
_atom_site_label
_atom_site_type_symbol
_atom_site_fract_x
_atom_site_fract_y
_atom_site_fract_z
Al1 Al 0.8292 0.6584 0.2512
Al2 Al 0.8292 0.1708 0.2512
Al3 Al 0.1708 0.8292 0.7488
Al4 Al 0.1708 0.3416 0.7488
Al5 Al 0.0000 0.0000 0.5000
Dy1 Dy 0.3333 0.6667 0.0746
Li1 Li 0.6667 0.3333 0.5547
Al6 Al 0.3416 0.1708 0.2512
Al7 Al 0.0000 0.0000 0.0000
Li2 Li 0.3333 0.6667 0.4453
Dy2 Dy 0.6667 0.3333 0.9254
Al8 Al 0.6584 0.8292 0.7488
```



No. 10
Here is an optimized crystal structure of OsAuNF2 from the Alexandria database. Energies are from PBE.

Results
Distance to the lowest polymorph of the same formula (eV per atom): 0.000
DFT total energy (eV/f.u.): -26.39
Total moment (μB per formula unit): 0.306

```
data_OsAuNF2
_chemical_formula_sum 'Os1 Au1 N1 F2'
_symmetry_space_group_name_H-M 'P 1'
_symmetry_Int_Tables_number 1
_cell_length_a 4.3034
_cell_length_b 4.3034
_cell_length_c 3.7466
_cell_angle_alpha 90.00
_cell_angle_beta 90.00
_cell_angle_gamma 90.00
loop_
_symmetry_equiv_pos_as_xyz
'x,y,z'
loop_
_atom_site_label
_atom_site_type_symbol
_atom_site_fract_x
_atom_site_fract_y
_atom_site_fract_z
Os1 Os 0.0000 0.0000 0.0000
F1 F 0.0000 0.5000 0.0000
N1 N 0.0000 0.0000 0.5000
Au1 Au 0.5000 0.5000 0.5000
F2 F 0.5000 0.0000 0.0000
```



No. 11
Here is an optimized crystal structure of BPtO2 from the Alexandria database. Energies are from PBE.

Results
DFT total energy (eV/f.u.): -25.78
Total moment (μB per formula unit): 1.035

```
data_BPtO2
_chemical_formula_sum 'B2 Pt2 O4'
_symmetry_space_group_name_H-M 'P 1'
_symmetry_Int_Tables_number 1
_cell_length_a 4.5921
_cell_length_b 4.5921
_cell_length_c 4.8214
_cell_angle_alpha 61.56
_cell_angle_beta 61.56
_cell_angle_gamma 90.00
loop_
_symmetry_equiv_pos_as_xyz
'x,y,z'
loop_
_atom_site_label
_atom_site_type_symbol
_atom_site_fract_x
_atom_site_fract_y
_atom_site_fract_z
O1 O 0.2846 0.6250 0.2500
Pt1 Pt 0.0000 0.0000 0.0000
O2 O 0.8750 0.7154 0.7500
B1 B 0.5000 0.5000 0.0000
B2 B 0.2500 0.7500 0.5000
Pt2 Pt 0.7500 0.2500 0.5000
O3 O 0.3750 0.5346 0.7500
O4 O 0.4654 0.1250 0.2500
```



No. 12
Here is an optimized crystal structure of CrCu4Au from the Alexandria database. Energies are from PBE.

Results
Energy of formation from the pure elements (kcal/mol of atoms): 2.28
DFT total energy (eV/f.u.): -28.69
Total moment (μB per formula unit): 4.201

```
data_CrCu4Au
_chemical_formula_sum 'Cr1 Cu4 Au1'
_symmetry_space_group_name_H-M 'P 1'
_symmetry_Int_Tables_number 1
_cell_length_a 4.8778
_cell_length_b 4.8778
_cell_length_c 4.8778
_cell_angle_alpha 60.00
_cell_angle_beta 60.00
_cell_angle_gamma 60.00
loop_
_symmetry_equiv_pos_as_xyz
'x,y,z'
loop_
_atom_site_label
_atom_site_type_symbol
_atom_site_fract_x
_atom_site_fract_y
_atom_site_fract_z
Cu1 Cu 0.8756 0.3748 0.3748
Cr1 Cr 0.0000 0.0000 0.0000
Cu2 Cu 0.3748 0.3748 0.8756
Au1 Au 0.7500 0.7500 0.7500
Cu3 Cu 0.3748 0.3748 0.3748
Cu4 Cu 0.3748 0.8756 0.3748
```